First-principles (PBE-GGA) data for a geometry-optimized Ac4GaIrCl2 structure, as listed in Alexandria.

Lattice parameters (Å, degrees): 7.9351 4.4113 8.1009 90.00 108.51 90.00
Last column: nearest neighbours and their distance in Å.
Positions (direct):
Ac (0.2285, 0.0000, 0.2103)  2 Ir 3.02, 1 Ga 3.14
Ac (0.2339, 0.5000, 0.7838)  1 Ir 2.93, 2 Ga 3.17
Ac (0.7661, 0.5000, 0.2162)  1 Ir 2.93, 2 Ga 3.17
Ac (0.7715, 0.0000, 0.7897)  2 Ir 3.02, 1 Ga 3.14
Ga (0.5000, 0.0000, 0.0000)  6 Ac 3.14-3.17
Ir (0.0000, 0.5000, 0.0000)  6 Ac 2.93-3.02
Cl (0.0000, 0.0000, 0.5000)  6 Ac 3.30-3.39
Cl (0.5000, 0.5000, 0.5000)  6 Ac 3.44-3.58

Properties
The value obtained for the density of states at the Fermi level is 5.681 states/eV/cell. For the total magnetization, the calculation gives 0.00 μB/cell. The formation energy (no corrections) comes out at -106.7 kJ per mole of atoms. The calculation puts the total energy at -5.11 eV/atom.